## MnCr2Fe (meta-GGA SCAN)

Data for MnCr2Fe at its PBEsol-relaxed geometry.

Computed properties:
DOS at the Fermi energy = 3.81 states/eV per cell

Cell lengths 2.407, 2.407, 7.835 Å; angles 90.00, 90.00, 108.34 degrees
Fractional positions:
1 Cr 0.000 0.000 0.249
2 Cr 0.000 0.000 0.751
3 Mn 0.500 0.500 0.000
4 Fe 0.500 0.500 0.500

## MnCr2Fe (meta-GGA SCAN)

Data for MnCr2Fe at its PBEsol-relaxed geometry.

Computed properties:
DOS at the Fermi energy = 3.32 states/eV per cell

Cell lengths 2.400, 3.925, 4.669 Å; angles 90.00, 100.89, 90.00 degrees
Fractional positions:
1 Cr 0.756 0.000 0.748
2 Cr 0.244 0.000 0.252
3 Mn 0.000 0.500 0.500
4 Fe 0.500 0.500 0.000

## MnCr2Fe (meta-GGA SCAN)

Data for MnCr2Fe at its PBEsol-relaxed geometry.

Computed properties:
DOS at the Fermi energy = 3.49 states/eV per cell

Cell lengths 3.456, 3.456, 4.338 Å; angles 113.48, 113.48, 90.00 degrees
Fractional positions:
1 Cr 0.000 0.000 0.000
2 Cr 0.750 0.250 0.500
3 Fe 0.500 0.500 0.000
4 Mn 0.250 0.750 0.500

## MnCr2Fe (meta-GGA SCAN)

Data for MnCr2Fe at its PBEsol-relaxed geometry.

Computed properties:
DOS at the Fermi energy = 4.20 states/eV per cell

Cell lengths 3.545, 3.545, 4.236 Å; angles 114.74, 114.74, 90.00 degrees
Fractional positions:
1 Cr 0.750 0.250 0.500
2 Cr 0.250 0.750 0.500
3 Fe 0.500 0.500 0.000
4 Mn 0.000 0.000 0.000

## MnCr2Fe (meta-GGA SCAN)

Data for MnCr2Fe at its PBEsol-relaxed geometry.

Computed properties:
DOS at the Fermi energy = 3.95 states/eV per cell

Cell lengths 2.385, 3.940, 4.653 Å; angles 90.00, 99.86, 90.00 degrees
Fractional positions:
1 Cr 0.992 0.000 0.994
2 Cr 0.766 0.500 0.256
3 Mn 0.225 0.500 0.753
4 Fe 0.516 0.000 0.497

## MnCr2Fe (meta-GGA SCAN)

Data for MnCr2Fe at its PBEsol-relaxed geometry.

Computed properties:
DOS at the Fermi energy = 3.53 states/eV per cell

Cell lengths 2.408, 2.408, 7.882 Å; angles 90.00, 90.00, 108.69 degrees
Fractional positions:
1 Cr 0.000 0.000 0.002
2 Cr 0.500 0.500 0.750
3 Mn 0.500 0.500 0.249
4 Fe 0.000 0.000 0.499

## MnCr2Fe (meta-GGA SCAN)

Data for MnCr2Fe at its PBEsol-relaxed geometry.

Computed properties:
DOS at the Fermi energy = 3.57 states/eV per cell

Cell lengths 3.944, 3.944, 3.944 Å; angles 60.00, 60.00, 60.00 degrees
Fractional positions:
1 Cr 0.000 0.000 0.000
2 Cr 0.750 0.750 0.750
3 Mn 0.250 0.250 0.250
4 Fe 0.500 0.500 0.500

## MnCr2Fe (meta-GGA SCAN)

Data for MnCr2Fe at its PBEsol-relaxed geometry.

Computed properties:
DOS at the Fermi energy = 3.49 states/eV per cell

Cell lengths 2.400, 4.606, 4.606 Å; angles 116.72, 99.51, 99.51 degrees
Fractional positions:
1 Cr 0.000 0.500 0.000
2 Cr 0.000 0.000 0.500
3 Mn 0.500 0.500 0.500
4 Fe 0.500 0.000 0.000

Summary of energy in eV/atom
-18.200 -18.203 -18.058 -18.089 -18.191 -18.216 -18.285 -18.204
(order as listed above)